A relaxed structure of Na4Pm2Cl9, computed with GGA-PBE.

Values from the calculation:
Calculated total energy, eV per atom: -4.091
Theoretical density, g/cm³: 2.742
Magnetic moment, Bohr magnetons per cell: 2.0
Space-group type: P-1
ΔE_f (raw), meV per atom: -1998

Cell: 7.1972 7.2005 18.9041 Å, 90.02 90.07 60.06°
Each line ends with the local moment (μB).
Sites, in units of the cell vectors:
Cl 0.3100 0.6892 0.7502  0.01
Cl 0.6788 0.3504 0.9135  0.00
Cl 0.0288 0.3186 0.0861  0.00
Cl 0.9712 0.6814 0.9139  0.00
Cl 0.6528 0.3202 0.5868  0.00
Cl 0.6778 0.9746 0.4136  0.00
Cl 0.9978 0.6905 0.2504  0.01
Cl 0.3499 0.9711 0.9139  0.00
Cl 0.0279 0.6504 0.5856  0.00
Cl 0.6900 0.3108 0.2498  0.01
Cl 0.3222 0.0254 0.5864  0.00
Cl 0.3472 0.6798 0.4132  0.00
Cl 0.6501 0.0289 0.0861  0.00
Cl 0.0022 0.3095 0.7496  0.01
Cl 0.3212 0.6496 0.0865  0.00
Cl 0.3102 0.9994 0.2499  0.01
Cl 0.6898 0.0006 0.7501  0.01
Cl 0.9721 0.3496 0.4144  0.00
Pm 0.9987 0.0023 0.3434  0.29
Pm 0.9999 0.0018 0.8438  0.29
Pm 0.0013 0.9977 0.6566  0.29
Pm 0.0001 0.9982 0.1562  0.29
Na 0.6681 0.6658 0.8216  0.00
Na 0.3344 0.3337 0.4836  0.00
Na 0.6655 0.6670 0.3231  0.00
Na 0.3319 0.3342 0.1784  0.00
Na 0.6656 0.6663 0.5164  0.00
Na 0.3345 0.3330 0.6769  0.00
Na 0.6672 0.6663 0.0175  0.00
Na 0.3328 0.3337 0.9825  0.00



A relaxed structure of Na2PmCl6, computed with GGA-PBE.

Values from the calculation:
Calculated total energy, eV per atom: -3.734
Theoretical density, g/cm³: 2.535
Magnetic moment, Bohr magnetons per cell: 1.0
Space-group type: C2/m
ΔE_f (raw), meV per atom: -1682

Cell: 4.8499 7.7553 8.0868 Å, 69.55 72.55 71.78°
Each line ends with the local moment (μB).
Sites, in units of the cell vectors:
Cl 0.3838 0.7139 0.5185  0.17
Cl 0.0348 0.1568 0.7735  0.14
Cl 0.9652 0.8432 0.2265  0.14
Cl 0.7835 0.6081 0.8249  0.09
Cl 0.6162 0.2861 0.4815  0.17
Cl 0.2165 0.3919 0.1751  0.09
Pm 0.0000 0.5000 0.5000  -0.01
Na 0.8261 0.2390 0.1088  0.00
Na 0.1739 0.7610 0.8912  0.00



A relaxed structure of NaPmPuCl6, computed with GGA-PBE.

Values from the calculation:
Calculated total energy, eV per atom: -5.471
Theoretical density, g/cm³: 3.851
Magnetic moment, Bohr magnetons per cell: 12.0
Space-group type: P-31c
ΔE_f (raw), meV per atom: -1973

Cell: 7.0485 7.0485 12.5219 Å, 90.00 90.00 120.00°
Each line ends with the local moment (μB).
Sites, in units of the cell vectors:
Cl 0.3329 0.9901 0.6277  -0.01
Cl 0.3428 0.0099 0.1277  -0.01
Cl 0.6572 0.6671 0.6277  -0.01
Cl 0.6671 0.0099 0.3723  -0.01
Cl 0.3329 0.3428 0.8723  -0.01
Cl 0.9901 0.6572 0.3723  -0.01
Cl 0.0099 0.6671 0.8723  -0.01
Cl 0.0099 0.3428 0.6277  -0.01
Cl 0.3428 0.3329 0.3723  -0.01
Cl 0.9901 0.3329 0.1277  -0.01
Cl 0.6671 0.6572 0.1277  -0.01
Cl 0.6572 0.9901 0.8723  -0.01
Na 0.6667 0.3333 0.7500  0.00
Na 0.3333 0.6667 0.2500  0.00
Pm 0.6667 0.3333 0.2500  0.11
Pm 0.3333 0.6667 0.7500  0.11
Pu 0.0000 0.0000 0.5000  5.72
Pu 0.0000 0.0000 0.0000  5.72



A relaxed structure of RbNaPmCl5, computed with GGA-PBE.

Values from the calculation:
Calculated total energy, eV per atom: -4.120
Theoretical density, g/cm³: 2.498
Magnetic moment, Bohr magnetons per cell: 0.0
Space-group type: C2/c
ΔE_f (raw), meV per atom: -2086

Cell: 7.9295 7.9295 10.4508 Å, 102.59 102.59 109.70°
Sites, in units of the cell vectors:
Cl 0.3603 0.2541 0.0686
Cl 0.9294 0.0706 0.7500
Cl 0.0907 0.7040 0.9079
Cl 0.6397 0.7459 0.9314
Cl 0.0706 0.9294 0.2500
Cl 0.7040 0.0907 0.4079
Cl 0.9093 0.2960 0.0921
Cl 0.7459 0.6397 0.4314
Cl 0.2541 0.3603 0.5686
Cl 0.2960 0.9093 0.5921
Pm 0.0000 0.0000 0.0000
Pm 0.0000 0.0000 0.5000
Rb 0.6613 0.3387 0.7500
Rb 0.3387 0.6613 0.2500
Na 0.3124 0.6876 0.7500
Na 0.6876 0.3124 0.2500



A relaxed structure of RbNa2PmCl6, computed with GGA-PBE.

Values from the calculation:
Calculated total energy, eV per atom: -3.980
Theoretical density, g/cm³: 2.628
Magnetic moment, Bohr magnetons per cell: 0.0
Space-group type: R3
ΔE_f (raw), meV per atom: -2036

Cell: 7.3200 7.3204 7.8902 Å, 62.36 62.35 59.97°
Sites, in units of the cell vectors:
Pm 0.3223 0.3222 0.0331
Cl 0.3465 0.7222 0.7583
Cl 0.2483 0.9329 0.2309
Cl 0.9327 0.5880 0.2308
Cl 0.5878 0.2485 0.2309
Cl 0.1730 0.3465 0.7582
Cl 0.7224 0.1727 0.7583
Na 0.5204 0.5204 0.4389
Na 0.0067 0.0067 0.9801
Rb 0.8013 0.8014 0.5956



A relaxed structure of Rb2NaPmCl6, computed with GGA-PBE.

Values from the calculation:
Calculated total energy, eV per atom: -4.007
Theoretical density, g/cm³: 2.861
Magnetic moment, Bohr magnetons per cell: 0.0
Space-group type: P2_1/c
ΔE_f (raw), meV per atom: -2098

Cell: 7.5777 7.8116 10.8190 Å, 90.00 89.59 90.00°
Sites, in units of the cell vectors:
Cl 0.2883 0.7011 0.0400
Cl 0.7883 0.7989 0.5400
Cl 0.7117 0.2989 0.9600
Cl 0.3009 0.7145 0.4590
Cl 0.9212 0.5195 0.2456
Cl 0.5788 0.0195 0.2544
Cl 0.1991 0.2145 0.0410
Cl 0.2117 0.2011 0.4600
Cl 0.6991 0.2855 0.5410
Cl 0.0788 0.4805 0.7544
Cl 0.4212 0.9805 0.7456
Cl 0.8009 0.7855 0.9590
Rb 0.0156 0.9448 0.2513
Rb 0.4844 0.4448 0.2487
Rb 0.9844 0.0552 0.7487
Rb 0.5156 0.5552 0.7513
Na 0.0000 0.5000 0.5000
Na 0.5000 0.0000 0.0000
Pm 0.5000 0.0000 0.5000
Pm 0.0000 0.5000 0.0000



A relaxed structure of NaPmSn2Cl8, computed with GGA-PBE.

Values from the calculation:
Calculated total energy, eV per atom: -3.956
Theoretical density, g/cm³: 3.037
Magnetic moment, Bohr magnetons per cell: 0.0
Space-group type: P-1
ΔE_f (raw), meV per atom: -1551

Cell: 6.7659 6.5373 8.5201 Å, 90.03 90.03 88.93°
Sites, in units of the cell vectors:
Cl 0.6640 0.7177 0.5008
Cl 0.3360 0.2823 0.4992
Cl 0.1643 0.7776 0.7584
Cl 0.3180 0.2516 0.0009
Cl 0.6820 0.7484 0.9991
Cl 0.1631 0.7766 0.2415
Cl 0.8357 0.2224 0.2416
Cl 0.8369 0.2234 0.7585
Sn 0.4998 0.4999 0.2589
Sn 0.5002 0.5001 0.7411
Pm 0.0000 0.0000 0.0000
Na 0.0000 0.0000 0.5000



A relaxed structure of Na2PmSnCl8, computed with GGA-PBE.

Values from the calculation:
Calculated total energy, eV per atom: -3.809
Theoretical density, g/cm³: 2.763
Magnetic moment, Bohr magnetons per cell: 0.0
Space-group type: P2/m
ΔE_f (raw), meV per atom: -1628

Cell: 6.6271 6.4806 8.3269 Å, 90.02 89.99 94.35°
Sites, in units of the cell vectors:
Cl 0.8327 0.2026 0.7442
Cl 0.6822 0.7196 0.0000
Cl 0.1673 0.7975 0.7442
Cl 0.3049 0.2758 0.5000
Cl 0.1673 0.7974 0.2558
Cl 0.6951 0.7242 0.5000
Cl 0.3178 0.2804 0.0000
Cl 0.8327 0.2025 0.2558
Na 0.5000 0.5000 0.7503
Na 0.5000 0.5000 0.2497
Sn 0.0000 0.0000 0.5000
Pm 0.0000 0.0000 0.0000



A relaxed structure of NaPmSnCl6, computed with GGA-PBE.

Values from the calculation:
Calculated total energy, eV per atom: -4.086
Theoretical density, g/cm³: 3.075
Magnetic moment, Bohr magnetons per cell: 0.0
Space-group type: P-31c
ΔE_f (raw), meV per atom: -1735

Cell: 7.0760 7.0760 12.4384 Å, 90.00 90.00 120.00°
Sites, in units of the cell vectors:
Pm 0.6667 0.3333 0.2500
Pm 0.3333 0.6667 0.7500
Cl 0.6649 0.6539 0.1277
Cl 0.0110 0.6649 0.8723
Cl 0.9890 0.3351 0.1277
Cl 0.3351 0.9890 0.6277
Cl 0.6539 0.6649 0.6277
Cl 0.3351 0.3461 0.8723
Cl 0.0110 0.3461 0.6277
Cl 0.3461 0.0110 0.1277
Cl 0.6649 0.0110 0.3723
Cl 0.9890 0.6539 0.3723
Cl 0.6539 0.9890 0.8723
Cl 0.3461 0.3351 0.3723
Sn 0.0000 0.0000 0.5000
Sn 0.0000 0.0000 0.0000
Na 0.6667 0.3333 0.7500
Na 0.3333 0.6667 0.2500



A relaxed structure of Na2PmTlCl6, computed with GGA-PBE.

Values from the calculation:
Calculated total energy, eV per atom: -3.927
Theoretical density, g/cm³: 3.315
Magnetic moment, Bohr magnetons per cell: 0.0
Space-group type: R3
ΔE_f (raw), meV per atom: -1844

Cell: 7.2996 7.2988 7.8342 Å, 62.23 62.22 59.98°
Sites, in units of the cell vectors:
Tl 0.8035 0.8036 0.5890
Cl 0.7206 0.1598 0.7592
Cl 0.1600 0.3603 0.7592
Cl 0.9331 0.5886 0.2329
Cl 0.3602 0.7205 0.7592
Cl 0.2454 0.9331 0.2329
Cl 0.5885 0.2456 0.2328
Na 0.0074 0.0075 0.9778
Na 0.5203 0.5204 0.4395
Pm 0.3224 0.3223 0.0328



A relaxed structure of NaPmTl2Cl6, computed with GGA-PBE.

Values from the calculation:
Calculated total energy, eV per atom: -3.893
Theoretical density, g/cm³: 4.243
Magnetic moment, Bohr magnetons per cell: 0.0
Space-group type: P2_1/c
ΔE_f (raw), meV per atom: -1704

Cell: 7.4252 7.7929 10.6793 Å, 90.00 89.29 90.00°
Sites, in units of the cell vectors:
Cl 0.8094 0.7910 0.9489
Cl 0.4003 0.9728 0.7458
Cl 0.9003 0.5272 0.2458
Cl 0.0997 0.4728 0.7542
Cl 0.3094 0.7090 0.4489
Cl 0.6906 0.2910 0.5511
Cl 0.2020 0.1933 0.4527
Cl 0.1906 0.2090 0.0511
Cl 0.2980 0.6933 0.0473
Cl 0.7020 0.3067 0.9527
Cl 0.7980 0.8067 0.5473
Cl 0.5997 0.0272 0.2542
Tl 0.0214 0.9315 0.2531
Tl 0.4786 0.4315 0.2469
Tl 0.5214 0.5685 0.7531
Tl 0.9786 0.0685 0.7469
Na 0.5000 0.0000 0.0000
Na 0.0000 0.5000 0.5000
Pm 0.0000 0.5000 0.0000
Pm 0.5000 0.0000 0.5000



A relaxed structure of NaPmTlCl5, computed with GGA-PBE.

Values from the calculation:
Calculated total energy, eV per atom: -4.044
Theoretical density, g/cm³: 3.306
Magnetic moment, Bohr magnetons per cell: 0.0
Space-group type: C2/c
ΔE_f (raw), meV per atom: -1835

Cell: 7.9048 7.9048 10.2110 Å, 101.28 101.28 112.42°
Sites, in units of the cell vectors:
Cl 0.3712 0.2591 0.0568
Cl 0.9187 0.0813 0.7500
Cl 0.7409 0.6288 0.4432
Cl 0.6976 0.0653 0.3906
Cl 0.9347 0.3024 0.1094
Cl 0.0653 0.6976 0.8906
Cl 0.2591 0.3712 0.5568
Cl 0.6288 0.7409 0.9432
Cl 0.0813 0.9187 0.2500
Cl 0.3024 0.9347 0.6094
Pm 0.0000 0.0000 0.5000
Pm 0.0000 0.0000 0.0000
Tl 0.3633 0.6367 0.2500
Tl 0.6367 0.3633 0.7500
Na 0.6872 0.3128 0.2500
Na 0.3128 0.6872 0.7500



A relaxed structure of NaPmZnCl6, computed with GGA-PBE.

Values from the calculation:
Calculated total energy, eV per atom: -3.800
Theoretical density, g/cm³: 3.021
Magnetic moment, Bohr magnetons per cell: 0.0
Space-group type: P-31c
ΔE_f (raw), meV per atom: -1753

Cell: 6.7363 6.7363 12.4799 Å, 90.00 90.00 120.00°
Sites, in units of the cell vectors:
Cl 0.9741 0.3426 0.6331
Cl 0.0259 0.3685 0.1331
Cl 0.6315 0.9741 0.3669
Cl 0.6315 0.6574 0.1331
Cl 0.9741 0.6315 0.8669
Cl 0.3685 0.3426 0.8669
Cl 0.3426 0.9741 0.1331
Cl 0.6574 0.0259 0.8669
Cl 0.0259 0.6574 0.3669
Cl 0.3426 0.3685 0.3669
Cl 0.3685 0.0259 0.6331
Cl 0.6574 0.6315 0.6331
Zn 0.6667 0.3333 0.7500
Zn 0.3333 0.6667 0.2500
Na 0.0000 0.0000 0.5000
Na 0.0000 0.0000 0.0000
Pm 0.3333 0.6667 0.7500
Pm 0.6667 0.3333 0.2500



A relaxed structure of NaPrCl4, computed with GGA-PBE.

Values from the calculation:
Calculated total energy, eV per atom: -4.323
Theoretical density, g/cm³: 2.938
Magnetic moment, Bohr magnetons per cell: 0.0
Energy relative to the lowest polymorph listed for this composition, eV/atom: 0.000
Space-group type: P2_1/c
ΔE_f (raw), meV per atom: -2076

Cell: 7.0420 6.9585 7.0805 Å, 90.00 84.83 90.00°
Sites, in units of the cell vectors:
Pr 0.5000 0.5000 0.0000
Pr 0.0000 0.0000 0.0000
Cl 0.8232 0.6608 0.1476
Cl 0.1492 0.8394 0.6672
Cl 0.6492 0.6606 0.6672
Cl 0.8508 0.1606 0.3328
Cl 0.3508 0.3394 0.3328
Cl 0.3232 0.8392 0.1476
Cl 0.1768 0.3392 0.8524
Cl 0.6768 0.1608 0.8524
Na 0.5000 0.0000 0.5000
Na 0.0000 0.5000 0.5000



A relaxed structure of Na3PrCl6, computed with GGA-PBE.

Values from the calculation:
Calculated total energy, eV per atom: -3.802
Theoretical density, g/cm³: 2.185
Magnetic moment, Bohr magnetons per cell: 0.0
Space-group type: Fm-3m
ΔE_f (raw), meV per atom: -1820

Cell: 7.6867 7.6867 7.6867 Å, 60.00 60.00 60.00°
Sites, in units of the cell vectors:
Na 0.7500 0.7500 0.7500
Na 0.2500 0.2500 0.2500
Na 0.5000 0.5000 0.5000
Cl 0.2512 0.7488 0.2512
Cl 0.7488 0.7488 0.2512
Cl 0.2512 0.2512 0.7488
Cl 0.2512 0.7488 0.7488
Cl 0.7488 0.2512 0.7488
Cl 0.7488 0.2512 0.2512
Pr 0.0000 0.0000 0.0000



A relaxed structure of NaPr2Cl7, computed with GGA-PBE.

Values from the calculation:
Calculated total energy, eV per atom: -4.508
Theoretical density, g/cm³: 3.204
Magnetic moment, Bohr magnetons per cell: 0.0
Space-group type: R-3m
ΔE_f (raw), meV per atom: -2127

Cell: 4.9717 4.9717 13.6921 Å, 79.54 79.54 60.00°
Sites, in units of the cell vectors:
Pr 0.9302 0.9302 0.2095
Pr 0.0698 0.0698 0.7905
Cl 0.5787 0.5787 0.2640
Cl 0.0000 0.0000 0.0000
Cl 0.4213 0.4213 0.7360
Cl 0.1379 0.1379 0.5863
Cl 0.8621 0.8621 0.4137
Cl 0.7191 0.7191 0.8428
Cl 0.2809 0.2809 0.1572
Na 0.5000 0.5000 0.5000



A relaxed structure of Na2Pr2Cl7, computed with GGA-PBE.

Values from the calculation:
Calculated total energy, eV per atom: -4.201
Theoretical density, g/cm³: 2.469
Magnetic moment, Bohr magnetons per cell: 1.0
Space-group type: C2/m
ΔE_f (raw), meV per atom: -1917

Cell: 8.2467 7.0099 7.0099 Å, 105.97 93.74 93.74°
Each line ends with the local moment (μB).
Sites, in units of the cell vectors:
Cl 0.1818 0.0431 0.4192  0.00
Cl 0.8182 0.9569 0.5808  0.00
Cl 0.5000 0.0000 0.0000  0.00
Cl 0.8182 0.5808 0.9569  0.00
Cl 0.1818 0.4192 0.0431  0.00
Cl 0.2592 0.5712 0.5712  0.01
Cl 0.7408 0.4288 0.4288  0.01
Pr 0.0000 0.3323 0.6677  0.26
Pr 0.0000 0.6677 0.3323  0.26
Na 0.5929 0.7286 0.7286  0.00
Na 0.4071 0.2714 0.2714  0.00



A relaxed structure of NaPr2Cl8, computed with GGA-PBE.

Values from the calculation:
Calculated total energy, eV per atom: -4.229
Theoretical density, g/cm³: 3.235
Magnetic moment, Bohr magnetons per cell: 0.9
Space-group type: C2/m
ΔE_f (raw), meV per atom: -1897

Cell: 5.3888 7.8300 7.8300 Å, 112.86 94.01 94.01°
Each line ends with the local moment (μB).
Sites, in units of the cell vectors:
Na 0.5000 0.0000 0.0000  0.00
Cl 0.0579 0.0712 0.3270  0.02
Cl 0.5000 0.2361 0.7639  0.00
Cl 0.0579 0.3270 0.0712  0.02
Cl 0.6924 0.4176 0.4176  0.33
Cl 0.9421 0.9288 0.6730  0.02
Cl 0.3076 0.5824 0.5824  0.33
Cl 0.5000 0.7639 0.2361  0.00
Cl 0.9421 0.6730 0.9288  0.02
Pr 0.0000 0.6957 0.3043  0.00
Pr 0.0000 0.3043 0.6957  0.00



A relaxed structure of NaPr2Cl, computed with GGA-PBE.

Values from the calculation:
Calculated total energy, eV per atom: -3.662
Theoretical density, g/cm³: 4.317
Magnetic moment, Bohr magnetons per cell: 0.0
Space-group type: R-3m
ΔE_f (raw), meV per atom: -480

Cell: 3.5743 3.5743 12.0078 Å, 81.44 81.44 60.00°
Sites, in units of the cell vectors:
Pr 0.8980 0.8980 0.3059
Pr 0.1020 0.1020 0.6941
Na 0.0000 0.0000 0.0000
Cl 0.5000 0.5000 0.5000